DFT (PBE) results for a relaxed Re2OsSeI crystal.

Unit cell a=4.5028 b=5.3487 c=4.5028 alpha=90.00 beta=90.00 gamma=90.00
Last column: nearest neighbours and their distance in Å.
Element x y z (fractional)
Se (0.0000, 0.0000, 0.0000)  4 Re 2.25
Os (0.5000, 0.5000, 0.5000)  4 I 3.18, 8 Re 3.50
Re (0.0000, 0.0000, 0.5000)  2 Se 2.25
Re (0.5000, 0.0000, 0.0000)  2 Se 2.25
I (0.0000, 0.5000, 0.0000)  2 Se 2.67

Calculated values
DOS(E_F): 7.7 states/eV per cell
Crystal system: tetragonal

DFT (PBE) results for a relaxed ReSiOs2I crystal.

Unit cell a=4.3974 b=4.9545 c=4.3974 alpha=90.00 beta=90.00 gamma=90.00
Last column: nearest neighbours and their distance in Å.
Element x y z (fractional)
Si (0.0000, 0.0000, 0.0000)  4 Os 2.20
Os (0.5000, 0.0000, 0.0000)  2 Si 2.20
Os (0.0000, 0.0000, 0.5000)  2 Si 2.20
Re (0.5000, 0.5000, 0.5000)  4 I 3.11, 8 Os 3.31
I (0.0000, 0.5000, 0.0000)  2 Si 2.48

Calculated values
DOS(E_F): 5.4 states/eV per cell
Crystal system: tetragonal

DFT (PBE) results for a relaxed VReOsI2 crystal.

Unit cell a=5.4001 b=4.6943 c=5.4001 alpha=90.00 beta=90.00 gamma=90.00
Last column: nearest neighbours and their distance in Å.
Element x y z (fractional)
I (0.0000, 0.0000, 0.5000)  2 Os 2.70
Re (0.5000, 0.5000, 0.5000)  8 I 3.58, 4 V 3.82
I (0.5000, 0.0000, 0.0000)  2 Os 2.70
Os (0.0000, 0.0000, 0.0000)  2 V 2.35
V (0.0000, 0.5000, 0.0000)  2 Os 2.35

Calculated values
DOS(E_F): 6.6 states/eV per cell
Crystal system: tetragonal

no.,electronic total energy (eV per atom)
1,-5.59
2,-6.17
3,-5.09